P:
NaGa2I (GGA-PBE, relaxed); D(E_F) = 5.38 states/eV/cell; SG = Fm-3m
1.0
0.0000 3.9035 3.9035
3.9035 0.0000 3.9035
3.9035 3.9035 0.0000
Ga Na I
2 1 1
Cartesian
1.9517 1.9517 1.9517
5.8552 5.8552 5.8552
0.0000 0.0000 0.0000
3.9035 3.9035 3.9035


Q:
NaGa2I (GGA-PBE, relaxed); D(E_F) = 4.41 states/eV/cell; SG = I-42d
1.0
8.9454 0.0000 0.0000
0.0000 8.9454 0.0000
4.4727 4.4727 2.9852
I Na Ga
2 2 4
Cartesian
8.9454 4.4727 1.4926
0.0000 0.0000 0.0000
4.4727 8.9454 1.4926
4.4727 4.4727 0.0000
6.7143 2.2363 0.7463
6.7090 6.7037 2.2389
11.1817 11.1870 2.2389
2.2310 6.7090 0.7463


Of them, P has the lowest stability.


P:
NaGaIO2 (GGA-PBE, relaxed); D(E_F) = 2.36 states/eV/cell; SG = P4/mmm
1.0
-0.0727 2.7303 -3.7237
-4.5543 -0.6560 -0.3920
-1.0325 4.9760 3.6687
O Na I Ga
2 1 1 1
Cartesian
-2.2772 -0.3280 -0.1960
-0.0364 1.3652 -1.8619
0.0000 0.0000 0.0000
-0.5163 2.4880 1.8344
-2.8298 3.5252 -0.2235


Q:
NaGaIO2 (GGA-PBE, relaxed); D(E_F) = 5.17 states/eV/cell; SG = P4/mmm
1.0
-2.6779 2.8677 -0.4482
-0.5223 -1.0760 -3.7637
-4.3830 -3.8269 1.7023
O Na I Ga
2 1 1 1
Cartesian
-1.3390 1.4338 -0.2241
-0.2612 -0.5380 -1.8818
-3.7916 -1.0176 -1.2547
-2.1915 -1.9135 0.8512
0.0000 0.0000 0.0000


Of them, P has the lowest stability.


P:
NaGaSb2I (GGA-PBE, relaxed); D(E_F) = 4.93 states/eV/cell; SG = P4/mmm
1.0
-2.2110 3.8927 3.1175
-4.1501 -3.3271 1.2111
3.1096 -2.1148 4.8460
Na I Sb Ga
1 1 2 1
Cartesian
0.0000 0.0000 0.0000
1.5548 -1.0574 2.4230
-2.0751 -1.6636 0.6055
-1.1055 1.9463 1.5587
-1.6258 -0.7746 4.5873


Q:
NaGaSb2I (GGA-PBE, relaxed); D(E_F) = 3.94 states/eV/cell; SG = P4/mmm
1.0
5.2868 0.0000 0.0000
0.0000 5.2868 0.0000
0.0000 0.0000 6.5594
Sb Ga I Na
2 1 1 1
Cartesian
0.0000 2.6434 0.0000
2.6434 0.0000 0.0000
0.0000 0.0000 0.0000
0.0000 0.0000 3.2797
2.6434 2.6434 3.2797


Of them, P has the lowest stability.


P:
NbGaSbI2 (GGA-PBE, relaxed); D(E_F) = 3.04 states/eV/cell; SG = P4/mmm
1.0
5.7020 0.0000 0.0000
0.0000 5.7020 0.0000
0.0000 0.0000 5.4031
I Nb Ga Sb
2 1 1 1
Cartesian
0.0000 2.8510 0.0000
2.8510 0.0000 0.0000
0.0000 0.0000 0.0000
2.8510 2.8510 2.7015
0.0000 0.0000 2.7015


Q:
NbGaSbI2 (GGA-PBE, relaxed); D(E_F) = 4.76 states/eV/cell; SG = P4/mmm
1.0
5.4837 0.0000 0.0000
0.0000 5.4837 0.0000
0.0000 0.0000 5.3752
I Sb Nb Ga
2 1 1 1
Cartesian
2.7418 0.0000 0.0000
0.0000 2.7418 0.0000
0.0000 0.0000 2.6876
2.7418 2.7418 2.6876
0.0000 0.0000 0.0000


Of them, Q has the lowest stability.


P:
NbGaSb2I (GGA-PBE, relaxed); D(E_F) = 6.19 states/eV/cell; SG = P4/mmm
1.0
5.1953 0.0000 0.0000
0.0000 5.1953 0.0000
0.0000 0.0000 5.4023
Sb Nb I Ga
2 1 1 1
Cartesian
2.5976 0.0000 0.0000
0.0000 2.5976 0.0000
2.5976 2.5976 2.7011
0.0000 0.0000 2.7011
0.0000 0.0000 0.0000


Q:
NbGaSb2I (GGA-PBE, relaxed); D(E_F) = 2.70 states/eV/cell; SG = P4/mmm
1.0
-1.2395 -0.6028 -5.1524
-3.5916 -3.7227 1.2995
-4.1823 4.2141 0.5131
I Nb Ga Sb
1 1 1 2
Cartesian
-2.0912 2.1070 0.2566
0.0000 0.0000 0.0000
-4.5067 -0.0557 -1.6699
-1.7958 -1.8614 0.6497
-0.6197 -0.3014 -2.5762


Of them, P has the lowest stability.


P:
Nd2GaI (GGA-PBE, relaxed); D(E_F) = 2.19 states/eV/cell; SG = R-3m
1.0
4.3802 0.0000 0.0000
2.1901 3.7934 0.0000
2.1901 1.2645 7.5729
Nd I Ga
2 1 1
Cartesian
2.1901 1.2645 1.6066
6.5703 3.7934 5.9663
4.3802 2.5289 3.7864
0.0000 0.0000 0.0000


Q:
Nd2GaI (GGA-PBE, relaxed); D(E_F) = 3.27 states/eV/cell; SG = P4/mmm
1.0
3.6636 0.0000 0.0000
0.0000 3.6636 0.0000
0.0000 0.0000 8.4716
I Nd Ga
1 2 1
Cartesian
1.8318 1.8318 4.2358
0.0000 0.0000 1.8761
0.0000 0.0000 6.5955
1.8318 1.8318 0.0000


Of them, Q has the lowest stability.


P:
Ga2NiI (GGA-PBE, relaxed); D(E_F) = 5.70 states/eV/cell; SG = Fm-3m
1.0
3.7511 -2.7250 -1.9072
-0.7629 -4.7993 -1.2322
-0.0938 -1.3653 -4.8230
Ga I Ni
2 1 1
Cartesian
0.7236 -2.2224 -1.9906
2.1708 -6.6672 -5.9718
1.4472 -4.4448 -3.9812
0.0000 0.0000 0.0000


Q:
Ga2NiI (GGA-PBE, relaxed); D(E_F) = 3.66 states/eV/cell; SG = I-42d
1.0
-0.4337 -5.8608 -0.7081
3.0839 0.3805 -5.0382
6.8102 -3.5443 0.4236
Ga I Ni
4 2 2
Cartesian
1.8722 -3.7551 -0.8763
3.5205 -2.1272 -3.2217
6.4942 -4.6649 -2.4788
7.0338 -7.5019 -4.0687
3.8508 -6.0726 -1.5789
0.0000 0.0000 0.0000
1.3251 -2.7401 -2.8731
5.6096 -2.9520 -3.7439


Of them, P has the lowest stability.


P:
GaNiI2 (GGA-PBE, relaxed); D(E_F) = 5.27 states/eV/cell; SG = I-42d
1.0
-3.2818 1.6695 -6.8299
-0.9941 -7.5717 -1.3732
-5.7049 -2.8003 -2.3507
I Ga Ni
4 2 2
Cartesian
-7.9464 -6.7037 -8.8391
-3.3585 -0.7268 -4.5220
-5.9558 -4.8746 -4.9410
-2.7009 -5.1000 -2.8057
-5.5623 -2.0409 -6.6411
0.0000 0.0000 0.0000
-4.4185 -6.6616 -3.9128
-2.1379 -2.9511 -4.1016


Q:
GaNiI2 (GGA-PBE, relaxed); D(E_F) = 6.79 states/eV/cell; SG = Fm-3m
1.0
-1.3941 -2.0369 4.6960
-2.1955 3.1109 3.6943
-5.1300 -0.5590 1.2313
I Ga Ni
2 1 1
Cartesian
-2.1799 0.1287 2.4054
-6.5397 0.3862 7.2162
-4.3598 0.2575 4.8108
0.0000 0.0000 0.0000


Of them, Q has the lowest stability.


P:
GaNiTeI2 (GGA-PBE, relaxed); D(E_F) = 6.36 states/eV/cell; SG = P4/mmm
1.0
-4.2507 -2.7622 2.2737
3.5510 -3.6881 2.1581
0.4339 3.0867 4.5611
I Ni Ga Te
2 1 1 1
Cartesian
-2.1254 -1.3811 1.1369
1.7755 -1.8440 1.0790
-0.1329 -1.6818 4.4965
0.0000 0.0000 0.0000
0.2170 1.5434 2.2806


Q:
GaNiTeI2 (GGA-PBE, relaxed); D(E_F) = 5.77 states/eV/cell; SG = P4/mmm
1.0
-1.0263 5.0182 1.8947
-3.8863 0.6340 -3.7842
-3.3867 -1.8865 3.1621
I Ni Te Ga
2 1 1 1
Cartesian
-0.5132 2.5091 0.9474
-1.9432 0.3170 -1.8921
0.0000 0.0000 0.0000
-1.6934 -0.9433 1.5810
-4.1497 1.8828 0.6363


Of them, P has the lowest stability.


P:
GaIO2 (GGA-PBE, relaxed); D(E_F) = 1.37 states/eV/cell; SG = I-42d
1.0
5.5430 0.0000 0.0000
0.0000 5.5430 0.0000
2.7715 2.7715 4.3838
I O Ga
2 4 2
Cartesian
5.5430 2.7715 2.1919
0.0000 0.0000 0.0000
4.1572 4.9502 3.2879
6.9287 6.1357 3.2879
3.3643 1.3857 1.0960
2.1787 4.1572 1.0960
2.7715 5.5430 2.1919
2.7715 2.7715 0.0000


Q:
GaIO2 (GGA-PBE, relaxed); D(E_F) = 1.66 states/eV/cell; SG = R-3m
1.0
3.8369 0.9672 5.6916
3.6311 -2.2036 5.4782
5.7948 -0.6286 3.7520
I O Ga
1 2 1
Cartesian
0.0000 0.0000 0.0000
1.5745 -0.2214 1.7715
11.6883 -1.6436 13.1503
6.6314 -0.9325 7.4609


Of them, P has the lowest stability.


P:
GaIO2 (GGA-PBE, relaxed); D(E_F) = 4.28 states/eV/cell; SG = R-3m
1.0
6.1750 3.8606 2.2815
5.6214 1.7657 4.8500
7.2927 0.6947 2.1386
O Ga I
2 1 1
Cartesian
17.6138 5.8324 8.5536
1.4753 0.4885 0.7165
0.0000 0.0000 0.0000
9.5446 3.1605 4.6350


Q:
GaIO2 (GGA-PBE, relaxed); D(E_F) = 3.90 states/eV/cell; SG = Fm-3m
1.0
-2.6078 -3.1023 -1.5042
-4.2363 0.1371 0.8498
-2.8113 0.8847 -3.1624
O I Ga
2 1 1
Cartesian
-7.2416 -1.5603 -2.8626
-2.4139 -0.5201 -0.9542
-4.8277 -1.0402 -1.9084
0.0000 0.0000 0.0000


Of them, Q has the lowest stability.


P:
Ga3IO (GGA-PBE, relaxed); D(E_F) = 0.16 states/eV/cell; SG = Pm-3m
1.0
-2.7203 -2.9553 2.7768
3.7416 -0.5399 3.0908
-1.5636 3.8495 2.5652
O Ga I
1 3 1
Cartesian
0.0000 0.0000 0.0000
1.8708 -0.2700 1.5454
-1.3601 -1.4777 1.3884
-0.7818 1.9248 1.2826
-0.2711 0.1772 4.2164


Q:
Ga3IO (GGA-PBE, relaxed); D(E_F) = 6.97 states/eV/cell; SG = Pm-3m
1.0
6.0693 0.0000 0.0000
0.0000 6.0693 0.0000
0.0000 0.0000 6.0693
I Ga O
1 3 1
Cartesian
0.0000 0.0000 0.0000
0.0000 0.0000 3.0347
0.0000 3.0347 0.0000
3.0347 0.0000 0.0000
3.0347 3.0347 3.0347


Of them, Q has the lowest stability.


P:
GaIO (GGA-PBE, relaxed); SG = P-1
1.0
3.6871 0.5511 0.1952
0.9769 6.1961 -0.2138
-0.2857 -2.2312 7.2382
I O Ga
2 2 2
Cartesian
1.6911 0.6008 2.0866
2.6872 3.9152 5.1330
3.1016 0.5487 6.8184
1.2767 3.9673 0.4013
3.0830 4.6438 0.0731
1.2953 -0.1278 7.1465


Q:
GaIO (GGA-PBE, relaxed); D(E_F) = 1.32 states/eV/cell; SG = Cm
1.0
3.4124 0.0307 0.0470
1.6770 2.9720 0.0470
1.6626 0.9809 7.1217
Ga O I
1 1 1
Cartesian
3.5974 2.1225 2.5012
5.2997 3.1268 2.1225
3.5616 2.1013 5.1979


Of them, Q has the lowest stability.


P:
Ga2IO2 (GGA-PBE, relaxed); D(E_F) = 5.45 states/eV/cell; SG = P4/mbm
1.0
-5.6785 0.3777 6.4359
3.0423 -7.4044 3.1189
1.8665 1.4254 1.5632
O Ga I
4 4 2
Cartesian
0.6706 -2.9432 1.8830
0.4602 -6.5302 5.4049
-3.3067 -4.0835 7.6718
-3.0964 -0.4965 4.1498
-1.0466 0.1347 3.6727
0.2770 -5.7360 7.4453
2.1946 -3.6819 3.2826
-2.9643 -1.9194 7.8354
0.0000 0.0000 0.0000
-1.3181 -3.5133 4.7774


Q:
Ga2IO2 (GGA-PBE, relaxed); D(E_F) = 1.28 states/eV/cell; SG = I4/mmm
1.0
-0.4599 -1.4340 3.8064
2.1096 -3.3592 -1.0107
5.7211 0.2053 2.9697
Ga I O
2 1 2
Cartesian
4.3278 -2.7753 1.6784
3.0430 -1.8127 4.0869
0.0000 0.0000 0.0000
2.9981 -1.2417 2.0955
4.3727 -3.3462 3.6698


Of them, P has the lowest stability.